Hf2InSb2 after structural relaxation. Source: Alexandria, functional PBE.

Lattice parameters (Å, degrees): 8.1853 8.1853 3.6389 90.00 90.00 90.00
With the nearest neighbours (Å) after each atom.
Atoms (fractional coordinates):
Hf 0.1371 0.3629 0.0000  6 Sb 2.98-3.05, 1 Hf 3.17
Hf 0.3629 0.8629 0.0000  6 Sb 2.98-3.05, 1 Hf 3.17
Hf 0.6371 0.1371 0.0000  6 Sb 2.98-3.05, 1 Hf 3.17
Hf 0.8629 0.6371 0.0000  6 Sb 2.98-3.05, 1 Hf 3.17
In 0.0000 0.0000 0.5000  4 Sb 3.11
In 0.5000 0.5000 0.5000  4 Sb 3.11
Sb 0.1511 0.6511 0.5000  6 Hf 2.98-3.05, 2 In 3.11
Sb 0.3489 0.1511 0.5000  6 Hf 2.98-3.05, 2 In 3.11
Sb 0.6511 0.8489 0.5000  6 Hf 2.98-3.05, 2 In 3.11
Sb 0.8489 0.3489 0.5000  6 Hf 2.98-3.05, 2 In 3.11

Calculated values
Its total energy is -6.31 eV/atom. The value obtained for the uncorrected formation energy is -0.6 eV per formula unit. The calculation puts the energy above the most stable polymorph in this dataset at 172 meV per atom. Its space group is P4/mbm, No. 127.